<A>
The following is a DFT calculation (PBE) of a geometry-optimized NaTeIrN2 structure.

Calculated values
- SG: P4/mmm (123)

a = 4.097 Å, b = 4.097 Å, c = 6.362 Å
α = 90.00°, β = 90.00°, γ = 90.00°
Element x y z (fractional)
1 Ir 0.500 0.500 0.500
2 Te 0.000 0.000 0.500
3 Na 0.000 0.000 0.000
4 N 0.500 0.000 0.000
5 N 0.000 0.500 0.000

<B>
The following is a DFT calculation (PBE) of a geometry-optimized NaTeIrN2 structure.

Calculated values
- SG: P4/mmm (123)

a = 3.894 Å, b = 3.894 Å, c = 5.830 Å
α = 90.00°, β = 90.00°, γ = 90.00°
Element x y z (fractional)
1 Ir 0.000 0.000 0.000
2 Na 0.500 0.500 0.500
3 N 0.000 0.500 0.000
4 N 0.500 0.000 0.000
5 Te 0.000 0.000 0.500

Relative energy of each structure, in kJ/mol of atoms: <A> 171.1; <B> 0.0.

<A>
The following is a DFT calculation (PBE) of a geometry-optimized Nb4Ir2N structure.

Calculated values
- SG: Fd-3m (227)

a = 8.490 Å, b = 8.490 Å, c = 8.490 Å
α = 60.00°, β = 60.00°, γ = 60.00°
Element x y z (fractional)
1 Nb 0.625 0.125 0.625
2 Nb 0.433 0.067 0.433
3 Nb 0.183 0.817 0.183
4 Nb 0.817 0.183 0.183
5 Nb 0.817 0.817 0.183
6 Nb 0.625 0.625 0.125
7 Ir 0.838 0.838 0.485
8 Ir 0.838 0.838 0.838
9 Nb 0.067 0.067 0.433
10 N 0.125 0.125 0.625
11 Nb 0.625 0.625 0.625
12 Ir 0.485 0.838 0.838
13 Ir 0.412 0.412 0.765
14 Nb 0.067 0.433 0.067
15 Ir 0.412 0.412 0.412
16 Nb 0.067 0.433 0.433
17 Nb 0.125 0.625 0.625
18 Ir 0.838 0.485 0.838
19 Ir 0.412 0.765 0.412
20 Nb 0.183 0.817 0.817
21 N 0.125 0.625 0.125
22 Nb 0.433 0.067 0.067
23 Nb 0.817 0.183 0.817
24 Ir 0.765 0.412 0.412
25 Nb 0.183 0.183 0.817
26 N 0.625 0.125 0.125
27 N 0.125 0.125 0.125
28 Nb 0.433 0.433 0.067

<B>
The following is a DFT calculation (PBE) of a geometry-optimized Nb4Ir2N structure.

Calculated values
- SG: I4/mmm (139)

a = 4.156 Å, b = 4.156 Å, c = 7.326 Å
α = 73.52°, β = 73.52°, γ = 90.00°
Element x y z (fractional)
1 N 0.000 0.000 0.000
2 Nb 0.500 0.000 0.000
3 Ir 0.363 0.363 0.275
4 Nb 0.178 0.178 0.643
5 Nb 0.000 0.500 0.000
6 Ir 0.637 0.637 0.725
7 Nb 0.822 0.822 0.357

Relative energy of each structure, in kJ/mol of atoms: <A> 0.0; <B> 22.6.

<A>
The following is a DFT calculation (PBE) of a geometry-optimized NbTe2IrN structure.

Calculated values
- SG: P4/mmm (123)

a = 5.452 Å, b = 5.452 Å, c = 3.659 Å
α = 90.00°, β = 90.00°, γ = 90.00°
Element x y z (fractional)
1 Nb 0.500 0.500 0.500
2 Te 0.000 0.500 0.000
3 Ir 0.000 0.000 0.000
4 Te 0.500 0.000 0.000
5 N 0.000 0.000 0.500

<B>
The following is a DFT calculation (PBE) of a geometry-optimized NbTe2IrN structure.

Calculated values
- SG: P4/mmm (123)

a = 5.415 Å, b = 4.850 Å, c = 5.415 Å
α = 90.00°, β = 90.00°, γ = 90.00°
Element x y z (fractional)
1 Ir 0.000 0.500 0.000
2 Te 0.000 0.000 0.500
3 Te 0.500 0.000 0.000
4 Nb 0.000 0.000 0.000
5 N 0.500 0.500 0.500

Relative energy of each structure, in kJ/mol of atoms: <A> 0.0; <B> 112.2.

<A>
The following is a DFT calculation (PBE) of a geometry-optimized NbV2IrN structure.

Calculated values
- SG: P4/mmm (123)

a = 4.671 Å, b = 3.878 Å, c = 4.671 Å
α = 90.00°, β = 90.00°, γ = 90.00°
Element x y z (fractional)
1 Nb 0.000 0.000 0.000
2 V 0.500 0.000 0.000
3 V 0.000 0.000 0.500
4 N 0.000 0.500 0.000
5 Ir 0.500 0.500 0.500

<B>
The following is a DFT calculation (PBE) of a geometry-optimized NbV2IrN structure.

Calculated values
- SG: P4/mmm (123)

a = 3.936 Å, b = 3.936 Å, c = 4.232 Å
α = 90.00°, β = 90.00°, γ = 90.00°
Element x y z (fractional)
1 Nb 0.000 0.000 0.500
2 V 0.500 0.000 0.000
3 V 0.000 0.500 0.000
4 Ir 0.500 0.500 0.500
5 N 0.000 0.000 0.000

Relative energy of each structure, in kJ/mol of atoms: <A> 210.6; <B> 0.0.

<A>
The following is a DFT calculation (PBE) of a geometry-optimized NiIr3N structure.

Calculated values
- SG: Pm-3m (221)

a = 4.486 Å, b = 4.486 Å, c = 4.486 Å
α = 90.00°, β = 90.00°, γ = 90.00°
Element x y z (fractional)
1 Ir 0.500 0.000 0.000
2 Ir 0.000 0.500 0.000
3 Ir 0.000 0.000 0.500
4 N 0.500 0.500 0.500
5 Ni 0.000 0.000 0.000

<B>
The following is a DFT calculation (PBE) of a geometry-optimized NiIr3N structure.

Calculated values
- SG: Pm-3m (221)

a = 4.041 Å, b = 4.041 Å, c = 4.041 Å
α = 90.00°, β = 90.00°, γ = 90.00°
Element x y z (fractional)
1 Ir 0.000 0.000 0.500
2 Ir 0.500 0.000 0.000
3 N 0.000 0.000 0.000
4 Ni 0.500 0.500 0.500
5 Ir 0.000 0.500 0.000

Relative energy of each structure, in kJ/mol of atoms: <A> 200.9; <B> 0.0.

<A>
The following is a DFT calculation (PBE) of a geometry-optimized NiIrS2N structure.

Calculated values
- SG: P4/mmm (123)

a = 4.608 Å, b = 4.608 Å, c = 3.306 Å
α = 90.00°, β = 90.00°, γ = 90.00°
Element x y z (fractional)
1 N 0.000 0.000 0.500
2 S 0.000 0.500 0.000
3 Ir 0.500 0.500 0.500
4 S 0.500 0.000 0.000
5 Ni 0.000 0.000 0.000

<B>
The following is a DFT calculation (PBE) of a geometry-optimized NiIrS2N structure.

Calculated values
- SG: P4/mmm (123)

a = 4.844 Å, b = 4.844 Å, c = 3.618 Å
α = 90.00°, β = 90.00°, γ = 90.00°
Element x y z (fractional)
1 N 0.000 0.000 0.500
2 Ir 0.000 0.000 0.000
3 Ni 0.500 0.500 0.500
4 S 0.500 0.000 0.000
5 S 0.000 0.500 0.000

Relative energy of each structure, in kJ/mol of atoms: <A> 18.1; <B> 0.0.